Material: Ti3GaRh4
Method: DFT, PBE
State: optimized geometry

Cell: 8.9201 5.8891 4.4890 Å, 90.00 90.00 90.00°
Space group Pmma (No. 51)
Inequivalent atoms, fractional coordinates:
Ti  0.0000  0.0000  0.0000 (multiplicity 2)
Ti  0.2500  0.0000  0.4636 (multiplicity 2)
Ti  0.2500  0.5000  0.4485 (multiplicity 2)
Ga  0.0000  0.5000  0.0000 (multiplicity 2)
Rh  0.0000  0.2470  0.5000 (multiplicity 4)
Rh  0.2500  0.2497  0.9494 (multiplicity 4)

ΔE_f = -783 meV/atom
VASP energy = -7.80 eV per atom



Material: K3HgF
Method: DFT, PBE
State: optimized geometry

Cell: 5.5051 5.5051 5.5051 Å, 90.00 90.00 90.00°
Space group Pm-3m (No. 221)
Inequivalent atoms, fractional coordinates:
K  0.0000  0.0000  0.5000 (multiplicity 3)
Hg  0.5000  0.5000  0.5000 (multiplicity 1)
F  0.0000  0.0000  0.0000 (multiplicity 1)

VASP energy = -2.22 eV per atom
formation energy from raw total energies = -1.124 eV/atom
energy above the lowest structure with this stoichiometry = 0.000 eV/atom



Material: La2CdIr
Method: DFT, PBE
State: optimized geometry

Cell: 4.5501 4.0842 6.4804 Å, 90.00 110.46 90.00°
Space group Pm (No. 6)
Inequivalent atoms, fractional coordinates:
La  0.0000  0.0000  0.0000 (multiplicity 1)
La  0.2986  0.5000  0.5983 (multiplicity 1)
Cd  0.6990  0.0000  0.3985 (multiplicity 1)
Ir  0.5239  0.5000  0.0501 (multiplicity 1)

ΔE_f = -455 meV/atom
VASP energy = -5.36 eV per atom



Material: LiNiCl2
Method: DFT, PBE
State: optimized geometry

Cell: 5.3680 5.3680 10.9625 Å, 90.00 90.00 90.00°
Space group I-42d (No. 122)
Inequivalent atoms, fractional coordinates:
Li  0.0000  0.0000  0.0000 (multiplicity 4)
Ni  0.0000  0.0000  0.5000 (multiplicity 4)
Cl  0.2364  0.2500  0.6250 (multiplicity 8)

VASP energy = -3.74 eV per atom
formation energy from raw total energies = -0.894 eV/atom
energy above the lowest structure with this stoichiometry = 0.000 eV/atom